Compound: PaFeSn2O8
Source: Alexandria via LeMat-Bulk
Functional: PBE with a Hubbard U
Structure: optimized geometry

Results
* magnetization: 5.071 μB per formula unit
* density: 6.46 g/cm³
* electronic total energy: -7.1060 eV/atom
* V: 335 Å³/cell

Cell lengths 6.889, 6.889, 7.066 Å; angles 90.00, 90.00, 90.00 degrees
Space group I-4m2 (No. 119)
Symmetry-distinct sites (fractional):
Pa  0.000  0.000  0.000 x2
Fe  0.000  0.500  0.250 x2
Sn  0.000  0.000  0.500 x2
Sn  0.000  0.500  0.750 x2
O  0.000  0.202  0.297 x8
O  0.000  0.307  0.951 x8

Compound: PaFe2SnO6
Source: Alexandria via LeMat-Bulk
Functional: PBE with a Hubbard U
Structure: optimized geometry

Results
* magnetization: 7.321 μB per formula unit
* density: 6.91 g/cm³
* electronic total energy: -7.5085 eV/atom
* V: 134 Å³/cell

Cell lengths 5.578, 5.586, 5.871 Å; angles 90.12, 117.55, 119.90 degrees
Space group P1 (No. 1)
Symmetry-distinct sites (fractional):
Pa  0.000  0.000  0.000 x1
Fe  0.407  0.693  0.118 x1
Fe  0.415  0.210  0.625 x1
Sn  0.994  0.495  0.492 x1
O  0.198  0.914  0.789 x1
O  0.209  0.797  0.287 x1
O  0.493  0.395  0.315 x1
O  0.501  0.601  0.815 x1
O  0.893  0.086  0.295 x1
O  0.896  0.298  0.801 x1

Compound: SrPaFe2O6
Source: Alexandria via LeMat-Bulk
Functional: PBE with a Hubbard U
Structure: optimized geometry

Results
* magnetization: 4.938 μB per formula unit
* density: 6.74 g/cm³
* electronic total energy: -7.5278 eV/atom
* V: 389 Å³/cell

Cell lengths 5.5941, 5.5941, 14.3650 Å; angles 90.00, 90.00, 120.00 degrees
Space group R3 (No. 146, hexagonal axes)
Symmetry-distinct sites (fractional):
Sr  0.0000  0.0000  0.0000 x3
Pa  0.0000  0.0000  0.4787 x3
Fe  0.0000  0.0000  0.2693 x3
Fe  0.0000  0.0000  0.7736 x3
O  0.0104  0.3792  0.5272 x9
O  0.0156  0.5827  0.0379 x9

Compound: SrPaFeO5
Source: Alexandria via LeMat-Bulk
Functional: PBE with a Hubbard U
Structure: optimized geometry

Results
* magnetization: 5.000 μB per formula unit
* density: 5.77 g/cm³
* electronic total energy: -8.0263 eV/atom
* V: 524 Å³/cell

Cell lengths 7.273, 9.801, 8.021 Å; angles 90.00, 113.69, 90.00 degrees
Space group C2/c (No. 15)
Symmetry-distinct sites (fractional):
Sr  0.000  0.165  0.250 x4
Pa  0.000  0.500  0.000 x4
Fe  0.000  0.182  0.750 x4
O  0.000  0.417  0.250 x4
O  0.106  0.296  0.615 x8
O  0.185  0.055  0.909 x8

Compound: PaTaFeO6
Source: Alexandria via LeMat-Bulk
Functional: PBE with a Hubbard U
Structure: optimized geometry

Results
* magnetization: 4.000 μB per formula unit
* density: 7.83 g/cm³
* electronic total energy: -8.9062 eV/atom
* V: 239 Å³/cell

Cell lengths 5.5654, 5.5654, 8.9180 Å; angles 90.00, 90.00, 120.00 degrees
Space group P-31c (No. 163)
Symmetry-distinct sites (fractional):
Pa  0.3333  0.6667  0.2500 x2
Ta  0.3333  0.6667  0.7500 x2
Fe  0.0000  0.0000  0.0000 x2
O  0.0247  0.3597  0.6322 x12

Compound: TbPaFe2O8
Source: Alexandria via LeMat-Bulk
Functional: PBE with a Hubbard U
Structure: optimized geometry

Results
* magnetization: 7.994 μB per formula unit
* density: 6.30 g/cm³
* electronic total energy: -7.6870 eV/atom
* V: 332 Å³/cell

Cell lengths 7.087, 7.087, 6.610 Å; angles 90.00, 90.00, 90.00 degrees
Space group I-4m2 (No. 119)
Symmetry-distinct sites (fractional):
Tb  0.000  0.000  0.000 x2
Pa  0.000  0.500  0.250 x2
Fe  0.000  0.000  0.500 x2
Fe  0.000  0.500  0.750 x2
O  0.000  0.194  0.304 x8
O  0.000  0.323  0.936 x8

Compound: TbPaFeO6
Source: Alexandria via LeMat-Bulk
Functional: PBE with a Hubbard U
Structure: optimized geometry

Results
* magnetization: 2.000 μB per formula unit
* density: 7.63 g/cm³
* electronic total energy: -7.9690 eV/atom
* V: 118 Å³/cell

Cell lengths 5.3154, 5.3154, 4.8163 Å; angles 90.00, 90.00, 120.00 degrees
Space group P312 (No. 149)
Symmetry-distinct sites (fractional):
Tb  0.0000  0.0000  0.0000 x1
Pa  0.6667  0.3333  0.5000 x1
Fe  0.3333  0.6667  0.0000 x1
O  0.0230  0.3786  0.2332 x6

Compound: PaFeTcO6
Source: Alexandria via LeMat-Bulk
Functional: PBE with a Hubbard U
Structure: optimized geometry

Results
* magnetization: 2.000 μB per formula unit
* density: 7.19 g/cm³
* electronic total energy: -8.2691 eV/atom
* V: 222 Å³/cell

Cell lengths 5.3770, 5.3770, 8.8656 Å; angles 90.00, 90.00, 120.00 degrees
Space group P-31c (No. 163)
Symmetry-distinct sites (fractional):
Pa  0.3333  0.6667  0.2500 x2
Fe  0.0000  0.0000  0.0000 x2
Tc  0.3333  0.6667  0.7500 x2
O  0.0237  0.3417  0.6266 x12

Compound: PaFeTe2O8
Source: Alexandria via LeMat-Bulk
Functional: PBE with a Hubbard U
Structure: optimized geometry

Results
* magnetization: 3.152 μB per formula unit
* density: 5.40 g/cm³
* electronic total energy: -6.6663 eV/atom
* V: 206 Å³/cell

Cell lengths 6.3964, 6.3964, 5.8117 Å; angles 90.00, 90.00, 120.00 degrees
Space group P-3m1 (No. 164)
Symmetry-distinct sites (fractional):
Pa  0.0000  0.0000  0.0000 x1
Fe  0.0000  0.0000  0.5000 x1
Te  0.3333  0.6667  0.7025 x2
O  0.1453  0.2907  0.7448 x6
O  0.3333  0.6667  0.3917 x2

Compound: ThPaFeO6
Source: Alexandria via LeMat-Bulk
Functional: PBE with a Hubbard U
Structure: optimized geometry

Results
* magnetization: 5.017 μB per formula unit
* density: 7.90 g/cm³
* electronic total energy: -8.7405 eV/atom
* V: 129 Å³/cell

Cell lengths 5.5442, 5.5442, 4.8525 Å; angles 90.00, 90.00, 120.00 degrees
Space group P312 (No. 149)
Symmetry-distinct sites (fractional):
Th  0.0000  0.0000  0.0000 x1
Pa  0.6667  0.3333  0.5000 x1
Fe  0.3333  0.6667  0.0000 x1
O  0.0088  0.3654  0.2382 x6

Compound: PaTiFe2O8
Source: Alexandria via LeMat-Bulk
Functional: PBE with a Hubbard U
Structure: optimized geometry

Results
* magnetization: 8.979 μB per formula unit
* density: 5.75 g/cm³
* electronic total energy: -7.8753 eV/atom
* V: 300 Å³/cell

Cell lengths 6.673, 6.673, 6.731 Å; angles 90.00, 90.00, 90.00 degrees
Space group I-4m2 (No. 119)
Symmetry-distinct sites (fractional):
Pa  0.000  0.000  0.000 x2
Ti  0.000  0.500  0.750 x2
Fe  0.000  0.000  0.500 x2
Fe  0.000  0.500  0.250 x2
O  0.000  0.208  0.689 x8
O  0.000  0.313  0.049 x8

Compound: PaTiFeO6
Source: Alexandria via LeMat-Bulk
Functional: PBE with a Hubbard U
Structure: optimized geometry

Results
* magnetization: 5.019 μB per formula unit
* density: 6.55 g/cm³
* electronic total energy: -8.5122 eV/atom
* V: 218 Å³/cell

Cell lengths 5.3878, 5.3878, 8.6869 Å; angles 90.00, 90.00, 120.00 degrees
Space group P-31c (No. 163)
Symmetry-distinct sites (fractional):
Pa  0.3333  0.6667  0.2500 x2
Ti  0.3333  0.6667  0.7500 x2
Fe  0.0000  0.0000  0.0000 x2
O  0.0283  0.3462  0.6288 x12